(1)
A relaxed structure of Be17FeNi, computed with PBE.

Lattice parameters (Å, degrees): 5.4215 5.4215 5.4215 81.83 81.83 81.83
Element x y z (fractional)
1 Be 0.9998 0.5001 0.5001
2 Be 0.0529 0.0529 0.0529
3 Be 0.1566 0.4698 0.8423
4 Be 0.1566 0.8423 0.4698
5 Be 0.1614 0.1614 0.6532
6 Be 0.1614 0.6532 0.1614
7 Be 0.2569 0.2569 0.2569
8 Be 0.3287 0.8058 0.8058
9 Be 0.4698 0.1566 0.8423
10 Be 0.4698 0.8423 0.1566
11 Be 0.5001 0.9998 0.5001
12 Be 0.5001 0.5001 0.9998
13 Be 0.6532 0.1614 0.1614
14 Be 0.8058 0.3287 0.8058
15 Be 0.8058 0.8058 0.3287
16 Be 0.8423 0.1566 0.4698
17 Be 0.8423 0.4698 0.1566
18 Fe 0.4786 0.4786 0.4786
19 Ni 0.8076 0.8076 0.8076

Properties
Calculated formation energy in eV/atom: -0.073
DOS at the Fermi energy in states/eV per cell: 3.9
Space group: R3m (160)

(2)
A relaxed structure of Be2FeNi, computed with PBE.

Lattice parameters (Å, degrees): 4.2565 4.2565 4.2565 134.90 134.90 65.68
Element x y z (fractional)
1 Be 0.0000 0.0000 0.0000
2 Be 0.7500 0.2500 0.5000
3 Fe 0.2500 0.7500 0.5000
4 Ni 0.5000 0.5000 0.0000

Properties
Offset from the most stable computed form in eV per atom: 0.1776
Calculated formation energy in eV/atom: -0.139
DOS at the Fermi energy in states/eV per cell: 2.4
Space group: I-4m2 (119)

(3)
A relaxed structure of BeFe3Ni, computed with PBE.

Lattice parameters (Å, degrees): 3.8828 3.8828 3.8828 90.00 90.00 90.00
Element x y z (fractional)
1 Be 0.0000 0.0000 0.0000
2 Fe 0.0000 0.0000 0.5000
3 Fe 0.0000 0.5000 0.0000
4 Fe 0.5000 0.0000 0.0000
5 Ni 0.5000 0.5000 0.5000

Properties
Offset from the most stable computed form in eV per atom: 0.0000
Calculated formation energy in eV/atom: 0.579
DOS at the Fermi energy in states/eV per cell: 3.3
Space group: Pm-3m (221)

(4)
A relaxed structure of Be2FeNi, computed with PBE.

Lattice parameters (Å, degrees): 4.2943 4.2943 3.8790 108.41 108.41 33.27
Element x y z (fractional)
1 Be 0.0000 0.0000 0.0000
2 Be 0.7291 0.7291 0.3261
3 Fe 0.2477 0.2477 0.8388
4 Ni 0.4752 0.4752 0.4828

Properties
Offset from the most stable computed form in eV per atom: 0.1307
Calculated formation energy in eV/atom: -0.186
DOS at the Fermi energy in states/eV per cell: 2.9
Space group: Cm (8)

(5)
A relaxed structure of Be3FeNi, computed with PBE.

Lattice parameters (Å, degrees): 3.8290 3.8290 3.8290 90.00 90.00 90.00
Element x y z (fractional)
1 Be 0.0000 0.0000 0.5000
2 Be 0.0000 0.5000 0.0000
3 Be 0.5000 0.0000 0.0000
4 Fe 0.0000 0.0000 0.0000
5 Ni 0.5000 0.5000 0.5000

Properties
Offset from the most stable computed form in eV per atom: 0.2763
Calculated formation energy in eV/atom: 0.826
DOS at the Fermi energy in states/eV per cell: 2.5
Space group: Pm-3m (221)

(6)
A relaxed structure of BeFe2Ni9, computed with PBE.

Lattice parameters (Å, degrees): 3.5179 3.5179 10.4364 90.00 90.00 90.00
Element x y z (fractional)
1 Be 0.0000 0.0000 0.0000
2 Fe 0.0000 0.0000 0.3272
3 Fe 0.0000 0.0000 0.6728
4 Ni 0.0000 0.5000 0.1595
5 Ni 0.0000 0.5000 0.5000
6 Ni 0.0000 0.5000 0.8405
7 Ni 0.5000 0.0000 0.1595
8 Ni 0.5000 0.0000 0.5000
9 Ni 0.5000 0.0000 0.8405
10 Ni 0.5000 0.5000 0.0000
11 Ni 0.5000 0.5000 0.3302
12 Ni 0.5000 0.5000 0.6698

Properties
Calculated formation energy in eV/atom: -0.120
DOS at the Fermi energy in states/eV per cell: 8.0
Space group: P4/mmm (123)

(7)
A relaxed structure of BeFeNi6, computed with PBE.

Lattice parameters (Å, degrees): 6.0383 6.0383 9.8594 90.00 90.00 109.71
Element x y z (fractional)
1 Be 0.0000 0.0000 0.2449
2 Be 0.0000 0.0000 0.7551
3 Be 0.2545 0.7455 0.0000
4 Be 0.7455 0.2545 0.0000
5 Fe 0.2532 0.7468 0.5000
6 Fe 0.5000 0.5000 0.2462
7 Fe 0.5000 0.5000 0.7538
8 Fe 0.7468 0.2532 0.5000
9 Ni 0.0000 0.0000 0.0000
10 Ni 0.0000 0.0000 0.5000
11 Ni 0.1202 0.3721 0.1228
12 Ni 0.1202 0.3721 0.8772
13 Ni 0.1221 0.3697 0.3726
14 Ni 0.1221 0.3697 0.6274
15 Ni 0.2493 0.7507 0.2459
16 Ni 0.2493 0.7507 0.7541
17 Ni 0.3697 0.1221 0.3726
18 Ni 0.3697 0.1221 0.6274
19 Ni 0.3721 0.1202 0.1228
20 Ni 0.3721 0.1202 0.8772
21 Ni 0.5000 0.5000 0.0000
22 Ni 0.5000 0.5000 0.5000
23 Ni 0.6279 0.8798 0.1228
24 Ni 0.6279 0.8798 0.8772
25 Ni 0.6303 0.8779 0.3726
26 Ni 0.6303 0.8779 0.6274
27 Ni 0.7507 0.2493 0.2459
28 Ni 0.7507 0.2493 0.7541
29 Ni 0.8779 0.6303 0.3726
30 Ni 0.8779 0.6303 0.6274
31 Ni 0.8798 0.6279 0.1228
32 Ni 0.8798 0.6279 0.8772

Properties
Offset from the most stable computed form in eV per atom: 0.0036
Calculated formation energy in eV/atom: -0.131
DOS at the Fermi energy in states/eV per cell: 20.6
Space group: Cmmm (65)

(8)
A relaxed structure of BeFeNi2Os, computed with PBE.

Lattice parameters (Å, degrees): 4.4969 4.4969 4.4451 90.00 90.00 90.00
Element x y z (fractional)
1 Be 0.0000 0.0000 0.0000
2 Fe 0.5000 0.5000 0.0000
3 Ni 0.0000 0.5000 0.5000
4 Ni 0.5000 0.0000 0.5000
5 Os 0.5000 0.5000 0.5000

Properties
Calculated formation energy in eV/atom: 1.668
DOS at the Fermi energy in states/eV per cell: 6.4
Space group: P4/mmm (123)

(9)
A relaxed structure of BeFeNiP, computed with PBE.

Lattice parameters (Å, degrees): 3.8017 3.8017 3.8017 60.00 60.00 60.00
Element x y z (fractional)
1 Be 0.0000 0.0000 0.0000
2 Fe 0.2500 0.2500 0.2500
3 Ni 0.7500 0.7500 0.7500
4 P 0.5000 0.5000 0.5000

Properties
Calculated formation energy in eV/atom: -0.325
DOS at the Fermi energy in states/eV per cell: 1.5
Space group: F-43m (216)

(10)
A relaxed structure of Be2FeNiRu, computed with PBE.

Lattice parameters (Å, degrees): 3.8729 3.8729 4.4929 90.00 90.00 90.00
Element x y z (fractional)
1 Be 0.0000 0.5000 0.0000
2 Be 0.5000 0.0000 0.0000
3 Fe 0.0000 0.0000 0.5000
4 Ni 0.5000 0.5000 0.0000
5 Ru 0.5000 0.5000 0.5000

Properties
Calculated formation energy in eV/atom: 0.821
DOS at the Fermi energy in states/eV per cell: 4.9
Space group: P4/mmm (123)

(11)
A relaxed structure of BeFeNiRu, computed with PBE.

Lattice parameters (Å, degrees): 4.0094 4.0094 4.0094 60.00 60.00 60.00
Element x y z (fractional)
1 Be 0.0000 0.0000 0.0000
2 Fe 0.5000 0.5000 0.5000
3 Ni 0.2500 0.2500 0.2500
4 Ru 0.7500 0.7500 0.7500

Properties
Calculated formation energy in eV/atom: -0.103
DOS at the Fermi energy in states/eV per cell: 1.3
Space group: F-43m (216)

(12)
A relaxed structure of Sc2Be5Fe2Ni, computed with PBE.

Lattice parameters (Å, degrees): 8.8940 8.8940 2.9025 90.00 90.00 90.00
Element x y z (fractional)
1 Sc 0.1814 0.3186 0.0000
2 Sc 0.3186 0.8186 0.0000
3 Sc 0.6814 0.1814 0.0000
4 Sc 0.8186 0.6814 0.0000
5 Be 0.0000 0.5000 0.5000
6 Be 0.0504 0.8116 0.5000
7 Be 0.1884 0.0504 0.5000
8 Be 0.3116 0.5504 0.5000
9 Be 0.4496 0.3116 0.5000
10 Be 0.5000 0.0000 0.5000
11 Be 0.5504 0.6884 0.5000
12 Be 0.6884 0.4496 0.5000
13 Be 0.8116 0.9496 0.5000
14 Be 0.9496 0.1884 0.5000
15 Fe 0.1287 0.6287 0.0000
16 Fe 0.3713 0.1287 0.0000
17 Fe 0.6287 0.8713 0.0000
18 Fe 0.8713 0.3713 0.0000
19 Ni 0.0000 0.0000 0.0000
20 Ni 0.5000 0.5000 0.0000

Properties
Calculated formation energy in eV/atom: -0.064
DOS at the Fermi energy in states/eV per cell: 13.9
Space group: P4/mbm (127)

(13)
A relaxed structure of Be2Fe2SiNi5, computed with PBE.

Lattice parameters (Å, degrees): 8.1579 8.1579 3.1812 90.00 90.00 90.00
Element x y z (fractional)
1 Be 0.1210 0.3790 0.0000
2 Be 0.3790 0.8790 0.0000
3 Be 0.6210 0.1210 0.0000
4 Be 0.8790 0.6210 0.0000
5 Fe 0.1751 0.6751 0.0000
6 Fe 0.3249 0.1751 0.0000
7 Fe 0.6751 0.8249 0.0000
8 Fe 0.8249 0.3249 0.0000
9 Si 0.0000 0.0000 0.0000
10 Si 0.5000 0.5000 0.0000
11 Ni 0.0000 0.5000 0.5000
12 Ni 0.0676 0.2050 0.5000
13 Ni 0.2050 0.9324 0.5000
14 Ni 0.2950 0.4324 0.5000
15 Ni 0.4324 0.7050 0.5000
16 Ni 0.5000 0.0000 0.5000
17 Ni 0.5676 0.2950 0.5000
18 Ni 0.7050 0.5676 0.5000
19 Ni 0.7950 0.0676 0.5000
20 Ni 0.9324 0.7950 0.5000

Properties
Formation energy (no corrections) in kJ/mol of atoms: -18.99
DOS at the Fermi energy in states/eV per cell: 20.9
Space group: P4/mbm (127)

(14)
A relaxed structure of BeFeTcNi, computed with PBE.

Lattice parameters (Å, degrees): 3.9814 3.9814 3.9814 60.00 60.00 60.00
Element x y z (fractional)
1 Be 0.0000 0.0000 0.0000
2 Fe 0.5000 0.5000 0.5000
3 Tc 0.7500 0.7500 0.7500
4 Ni 0.2500 0.2500 0.2500

Properties
Calculated formation energy in eV/atom: -0.037
DOS at the Fermi energy in states/eV per cell: 4.3
Space group: F-43m (216)

(15)
A relaxed structure of Ti2Be5Fe2Ni, computed with PBE.

Lattice parameters (Å, degrees): 8.5314 8.5314 2.9083 90.00 90.00 90.00
Element x y z (fractional)
1 Ti 0.1823 0.3177 0.0000
2 Ti 0.3177 0.8177 0.0000
3 Ti 0.6823 0.1823 0.0000
4 Ti 0.8177 0.6823 0.0000
5 Be 0.0000 0.5000 0.5000
6 Be 0.0459 0.8089 0.5000
7 Be 0.1911 0.0459 0.5000
8 Be 0.3089 0.5459 0.5000
9 Be 0.4541 0.3089 0.5000
10 Be 0.5000 0.0000 0.5000
11 Be 0.5459 0.6911 0.5000
12 Be 0.6911 0.4541 0.5000
13 Be 0.8089 0.9541 0.5000
14 Be 0.9541 0.1911 0.5000
15 Fe 0.1303 0.6303 0.0000
16 Fe 0.3697 0.1303 0.0000
17 Fe 0.6303 0.8697 0.0000
18 Fe 0.8697 0.3697 0.0000
19 Ni 0.0000 0.0000 0.0000
20 Ni 0.5000 0.5000 0.0000

Properties
Calculated formation energy in eV/atom: -0.112
DOS at the Fermi energy in states/eV per cell: 10.8
Space group: P4/mbm (127)

(16)
A relaxed structure of TiBeFeNi, computed with PBE.

Lattice parameters (Å, degrees): 3.9767 3.9767 3.9767 60.00 60.00 60.00
Element x y z (fractional)
1 Ti 0.0000 0.0000 0.0000
2 Be 0.5000 0.5000 0.5000
3 Fe 0.2500 0.2500 0.2500
4 Ni 0.7500 0.7500 0.7500

Properties
Calculated formation energy in eV/atom: -0.316
DOS at the Fermi energy in states/eV per cell: 1.0
Space group: F-43m (216)

(17)
A relaxed structure of NpBe4Fe, computed with PBE.

Lattice parameters (Å, degrees): 4.5811 4.5811 4.5811 60.00 60.00 60.00
Element x y z (fractional)
1 Np 0.0000 0.0000 0.0000
2 Be 0.1329 0.6224 0.6224
3 Be 0.6224 0.1329 0.6224
4 Be 0.6224 0.6224 0.1329
5 Be 0.6224 0.6224 0.6224
6 Fe 0.2500 0.2500 0.2500

Properties
Calculated formation energy in eV/atom: 0.171
DOS at the Fermi energy in states/eV per cell: 2.9
Space group: F-43m (216)

(18)
A relaxed structure of NpBeFe2, computed with PBE.

Lattice parameters (Å, degrees): 2.7703 2.7703 6.2440 90.00 90.00 90.00
Element x y z (fractional)
1 Np 0.0000 0.0000 0.0000
2 Be 0.0000 0.0000 0.5000
3 Fe 0.5000 0.5000 0.3032
4 Fe 0.5000 0.5000 0.6968

Properties
Offset from the most stable computed form in eV per atom: 0.0091
Calculated formation energy in eV/atom: 0.104
DOS at the Fermi energy in states/eV per cell: 5.1
Space group: P4/mmm (123)

(19)
A relaxed structure of NpBeFe2, computed with PBE.

Lattice parameters (Å, degrees): 3.9029 3.9029 3.3584 90.00 90.00 90.00
Element x y z (fractional)
1 Np 0.0000 0.0000 0.0000
2 Be 0.5000 0.5000 0.0000
3 Fe 0.0000 0.5000 0.5000
4 Fe 0.5000 0.0000 0.5000

Properties
Offset from the most stable computed form in eV per atom: 0.0000
Calculated formation energy in eV/atom: 0.095
DOS at the Fermi energy in states/eV per cell: 4.7
Space group: P4/mmm (123)

(20)
A relaxed structure of NpBeFe2, computed with PBE.

Lattice parameters (Å, degrees): 4.2023 4.2023 4.2023 60.00 60.00 60.00
Element x y z (fractional)
1 Np 0.0000 0.0000 0.0000
2 Be 0.5000 0.5000 0.5000
3 Fe 0.2500 0.2500 0.2500
4 Fe 0.7500 0.7500 0.7500

Properties
Offset from the most stable computed form in eV per atom: 0.0620
Calculated formation energy in eV/atom: 0.157
DOS at the Fermi energy in states/eV per cell: 5.1
Space group: Fm-3m (225)

(21)
A relaxed structure of NpBeFe, computed with PBE.

Lattice parameters (Å, degrees): 7.3401 3.0958 7.0618 90.00 90.00 90.00
Element x y z (fractional)
1 Np 0.0057 0.2500 0.1449
2 Np 0.4943 0.7500 0.6449
3 Np 0.5057 0.2500 0.3551
4 Np 0.9943 0.7500 0.8551
5 Be 0.2026 0.7500 0.3893
6 Be 0.2974 0.2500 0.8893
7 Be 0.7026 0.7500 0.1107
8 Be 0.7974 0.2500 0.6107
9 Fe 0.1099 0.2500 0.5959
10 Fe 0.3901 0.7500 0.0959
11 Fe 0.6099 0.2500 0.9041
12 Fe 0.8901 0.7500 0.4041

Properties
Calculated formation energy in eV/atom: 0.108
DOS at the Fermi energy in states/eV per cell: 15.0
Space group: Pnma (62)

(22)
A relaxed structure of NpBeFeP2, computed with PBE.

Lattice parameters (Å, degrees): 6.1715 6.1715 6.1715 146.90 146.90 47.51
Element x y z (fractional)
1 Np 0.0000 0.0000 0.0000
2 Be 0.2500 0.7500 0.5000
3 Fe 0.7500 0.2500 0.5000
4 P 0.3688 0.3688 0.0000
5 P 0.6312 0.6312 0.0000

Properties
Calculated formation energy in eV/atom: -0.596
DOS at the Fermi energy in states/eV per cell: 5.6
Space group: I-4m2 (119)

(23)
A relaxed structure of NpBeFeRu, computed with PBE.

Lattice parameters (Å, degrees): 4.3402 4.3402 4.3402 60.00 60.00 60.00
Element x y z (fractional)
1 Np 0.0000 0.0000 0.0000
2 Be 0.5000 0.5000 0.5000
3 Fe 0.7500 0.7500 0.7500
4 Ru 0.2500 0.2500 0.2500

Properties
Calculated formation energy in eV/atom: 0.074
DOS at the Fermi energy in states/eV per cell: 5.7
Space group: F-43m (216)